Entry 1:
Er3Mo5N12 (PBE, relaxed); spin magnetization = 0.00 Bohr magnetons per cell; space group = Ia-3d, No. 230; uncorrected formation energy = -693 meV/atom; density of states at the Fermi level = 7.9 states/eV/f.u.
1.0
-6.355 6.355 6.355
6.355 -6.355 6.355
6.355 6.355 -6.355
Er Mo N
12 20 48
direct
0.125 0.250 0.375 Er
0.125 0.375 0.750 Er
0.250 0.375 0.125 Er
0.250 0.875 0.625 Er
0.375 0.125 0.250 Er
0.375 0.750 0.125 Er
0.625 0.250 0.875 Er
0.625 0.875 0.750 Er
0.750 0.125 0.375 Er
0.750 0.625 0.875 Er
0.875 0.625 0.250 Er
0.875 0.750 0.625 Er
0.000 0.000 0.000 Mo
0.000 0.000 0.500 Mo
0.000 0.500 0.000 Mo
0.000 0.500 0.500 Mo
0.125 0.750 0.875 Mo
0.125 0.875 0.250 Mo
0.250 0.125 0.875 Mo
0.250 0.625 0.375 Mo
0.375 0.250 0.625 Mo
0.375 0.625 0.750 Mo
0.500 0.000 0.000 Mo
0.500 0.000 0.500 Mo
0.500 0.500 0.000 Mo
0.500 0.500 0.500 Mo
0.625 0.375 0.250 Mo
0.625 0.750 0.375 Mo
0.750 0.375 0.625 Mo
0.750 0.875 0.125 Mo
0.875 0.125 0.750 Mo
0.875 0.250 0.125 Mo
0.023 0.204 0.118 N
0.023 0.319 0.904 N
0.086 0.704 0.681 N
0.086 0.882 0.404 N
0.096 0.618 0.414 N
0.096 0.977 0.681 N
0.118 0.023 0.204 N
0.118 0.596 0.914 N
0.181 0.204 0.586 N
0.181 0.477 0.596 N
0.204 0.118 0.023 N
0.204 0.586 0.181 N
0.296 0.319 0.914 N
0.296 0.477 0.382 N
0.319 0.904 0.023 N
0.319 0.914 0.296 N
0.382 0.296 0.477 N
0.382 0.586 0.904 N
0.404 0.086 0.882 N
0.404 0.819 0.523 N
0.414 0.096 0.618 N
0.414 0.819 0.796 N
0.477 0.382 0.296 N
0.477 0.596 0.181 N
0.523 0.404 0.819 N
0.523 0.618 0.704 N
0.586 0.181 0.204 N
0.586 0.904 0.382 N
0.596 0.181 0.477 N
0.596 0.914 0.118 N
0.618 0.414 0.096 N
0.618 0.704 0.523 N
0.681 0.086 0.704 N
0.681 0.096 0.977 N
0.704 0.523 0.618 N
0.704 0.681 0.086 N
0.796 0.414 0.819 N
0.796 0.882 0.977 N
0.819 0.523 0.404 N
0.819 0.796 0.414 N
0.882 0.404 0.086 N
0.882 0.977 0.796 N
0.904 0.023 0.319 N
0.904 0.382 0.586 N
0.914 0.118 0.596 N
0.914 0.296 0.319 N
0.977 0.681 0.096 N
0.977 0.796 0.882 N

---

Entry 2:
YInSb2Te (PBE, relaxed); energy relative to the lowest polymorph listed for this composition = 255.2 meV per atom; spin magnetization = 0.00 Bohr magnetons per cell; space group = P4/mmm, No. 123; uncorrected formation energy = 304 meV/atom; density of states at the Fermi level = 4.6 states/eV/f.u.
1.0
5.509 0.000 0.000
0.000 5.509 0.000
0.000 0.000 5.649
Y In Sb Te
1 1 2 1
direct
0.000 0.000 0.000 Y
0.500 0.500 0.500 In
0.000 0.500 0.500 Sb
0.500 0.000 0.500 Sb
0.500 0.500 0.000 Te

---

Entry 3:
PmDyMg2Pd4 (PBE, relaxed); E_form = -0.761 eV per atom; spin magnetization = 0.00 Bohr magnetons per cell; space group = R-3m, No. 166; density of states at the Fermi level = 4.5 states/eV/f.u.
1.0
2.402 1.387 7.927
-2.402 1.387 7.927
0.000 -2.773 7.927
Pm Dy Mg Pd
1 1 2 4
direct
0.000 0.000 0.000 Pm
0.500 0.500 0.500 Dy
0.249 0.249 0.249 Mg
0.751 0.751 0.751 Mg
0.126 0.126 0.126 Pd
0.379 0.379 0.379 Pd
0.621 0.621 0.621 Pd
0.874 0.874 0.874 Pd

---

Entry 4:
NiHg2N2 (PBE, relaxed); energy relative to the lowest polymorph listed for this composition = 0.0 meV per atom; spin magnetization = 0.00 Bohr magnetons per cell; space group = I4/mmm, No. 139; uncorrected formation energy = 438 meV/atom; density of states at the Fermi level = 1.6 states/eV/f.u.
1.0
-3.073 3.073 2.529
3.073 -3.073 2.529
3.073 3.073 -2.529
Ni Hg N
1 2 2
direct
0.000 0.000 0.000 Ni
0.250 0.750 0.500 Hg
0.750 0.250 0.500 Hg
0.384 0.384 0.000 N
0.616 0.616 0.000 N